VASP calculation (PBE) on Na2Sr4Cd after structural relaxation.

Results
Formation energy, eV per formula unit: 0.18
Crystal system: trigonal
Density, g/cm³: 2.69
Symmetry: R-3m, No. 166

Cell: 10.487 10.487 10.487 Å, 33.56 33.56 33.56°
Positions (direct):
1 Na 0.248 0.248 0.248
2 Na 0.752 0.752 0.752
3 Sr 0.128 0.128 0.128
4 Sr 0.377 0.377 0.377
5 Sr 0.623 0.623 0.623
6 Sr 0.872 0.872 0.872
7 Cd 0.500 0.500 0.500